1.
# SmAlPd6

A relaxed SmAlPd6 crystal (PBE, Alexandria).

Its total magnetization is 0.0 μB per cell. Its crystal system is tetragonal. For the formation energy, the calculation gives -0.697 eV per atom. As for the density of states at the Fermi level: 8.6 states/eV per cell.

It has space group P4/mmm (No. 123), with a = 4.089 Å, b = 4.089 Å, c = 7.922 Å, α = 90.00°, β = 90.00° and γ = 90.00°. Symmetry generates all atoms from Sm at (0.000, 0.000, 0.000), Al at (0.000, 0.000, 0.500), Pd at (0.000, 0.500, 0.273), Pd at (0.500, 0.500, 0.000) and Pd at (0.500, 0.500, 0.500).

2.
# Sm3Al5Pd

A relaxed Sm3Al5Pd crystal (PBE, Alexandria).

Its total magnetization is 0.0 μB per cell. Its crystal system is hexagonal. For the formation energy, the calculation gives -0.617 eV per atom. As for the density of states at the Fermi level: 3.4 states/eV per cell.

It has space group P-62m (No. 189), with a = 7.1282 Å, b = 7.1282 Å, c = 4.4444 Å, α = 90.00°, β = 90.00° and γ = 120.00°. Symmetry generates all atoms from Sm at (0.0000, 0.4130, 0.0000), Al at (0.0000, 0.7677, 0.5000), Al at (0.3333, 0.6667, 0.5000) and Pd at (0.0000, 0.0000, 0.0000).

3.
# SmAlPd4

A relaxed SmAlPd4 crystal (PBE, Alexandria).

Its total magnetization is 0.0 μB per cell. Its crystal system is orthorhombic. For the formation energy, the calculation gives -0.765 eV per atom. As for the density of states at the Fermi level: 6.5 states/eV per cell.

It has space group Pmma (No. 51), with a = 7.790 Å, b = 3.928 Å, c = 7.003 Å, α = 90.00°, β = 90.00° and γ = 90.00°. Symmetry generates all atoms from Sm at (0.250, 0.000, 0.146), Al at (0.250, 0.000, 0.709), Pd at (0.000, 0.000, 0.500), Pd at (0.056, 0.500, 0.807) and Pd at (0.250, 0.500, 0.455).

4.
# SmAl2Pd

A relaxed SmAl2Pd crystal (PBE, Alexandria).

Its total magnetization is 0.0 μB per cell. Its crystal system is trigonal. For the formation energy, the calculation gives -0.687 eV per atom. As for the density of states at the Fermi level: 7.1 states/eV per cell.

It has space group R-3m (No. 166, hexagonal axes), with a = 4.2711 Å, b = 4.2711 Å, c = 15.7976 Å, α = 90.00°, β = 90.00° and γ = 120.00°. Symmetry generates all atoms from Sm at (0.0000, 0.0000, 0.0000), Al at (0.0000, 0.0000, 0.2095) and Pd at (0.0000, 0.0000, 0.5000).

5.
# SmAlPd6

A relaxed SmAlPd6 crystal (PBE, Alexandria).

Its total magnetization is 0.0 μB per cell. Its crystal system is tetragonal. For the formation energy, the calculation gives -0.503 eV per atom. As for the density of states at the Fermi level: 4.7 states/eV per cell.

It has space group P4/mmm (No. 123), with a = 3.971 Å, b = 3.971 Å, c = 9.337 Å, α = 90.00°, β = 90.00° and γ = 90.00°. Symmetry generates all atoms from Sm at (0.000, 0.000, 0.000), Al at (0.000, 0.000, 0.500), Pd at (0.000, 0.500, 0.337) and Pd at (0.500, 0.500, 0.138).

6.
# Sm2Al8Pd

A relaxed Sm2Al8Pd crystal (PBE, Alexandria).

Its total magnetization is 0.0 μB per cell. Its crystal system is tetragonal. For the formation energy, the calculation gives -0.479 eV per atom. As for the density of states at the Fermi level: 1.9 states/eV per cell.

It has space group P4/mmm (No. 123), with a = 4.334 Å, b = 4.334 Å, c = 11.321 Å, α = 90.00°, β = 90.00° and γ = 90.00°. Symmetry generates all atoms from Sm at (0.000, 0.000, 0.190), Al at (0.000, 0.500, 0.000), Al at (0.000, 0.500, 0.376), Al at (0.500, 0.500, 0.197) and Pd at (0.000, 0.000, 0.500).

7.
# SmAl2Pd5

A relaxed SmAl2Pd5 crystal (PBE, Alexandria).

Its total magnetization is 0.0 μB per cell. Its crystal system is orthorhombic. For the formation energy, the calculation gives -0.779 eV per atom. As for the density of states at the Fermi level: 6.4 states/eV per cell.

It has space group Immm (No. 71), with a = 3.916 Å, b = 7.035 Å, c = 10.197 Å, α = 90.00°, β = 90.00° and γ = 90.00°. Symmetry generates all atoms from Sm at (0.000, 0.000, 0.000), Al at (0.000, 0.500, 0.239), Pd at (0.000, 0.201, 0.357) and Pd at (0.000, 0.500, 0.000).

8.
# Sm2Al5Pd3

A relaxed Sm2Al5Pd3 crystal (PBE, Alexandria).

Its total magnetization is 0.0 μB per cell. Its crystal system is orthorhombic. For the formation energy, the calculation gives -0.798 eV per atom. As for the density of states at the Fermi level: 20.0 states/eV per cell.

It has space group Ibam (No. 72), with a = 10.386 Å, b = 12.746 Å, c = 5.783 Å, α = 90.00°, β = 90.00° and γ = 90.00°. Symmetry generates all atoms from Sm at (0.223, 0.142, 0.000), Al at (0.000, 0.000, 0.250), Al at (0.000, 0.289, 0.250), Al at (0.167, 0.407, 0.000), Pd at (0.000, 0.500, 0.250) and Pd at (0.098, 0.142, 0.500).

9.
# Sm2Al3Pd4

A relaxed Sm2Al3Pd4 crystal (PBE, Alexandria).

Its total magnetization is 0.0 μB per cell. Its crystal system is orthorhombic. For the formation energy, the calculation gives -0.879 eV per atom. As for the density of states at the Fermi level: 21.0 states/eV per cell.

It has space group Cmce (No. 64), with a = 5.661 Å, b = 15.580 Å, c = 7.638 Å, α = 90.00°, β = 90.00° and γ = 90.00°. Symmetry generates all atoms from Sm at (0.000, 0.108, 0.086), Al at (0.000, 0.000, 0.500), Al at (0.250, 0.229, 0.750), Pd at (0.000, 0.184, 0.480) and Pd at (0.250, 0.063, 0.750).

10.
# SmAl7Pd5

A relaxed SmAl7Pd5 crystal (PBE, Alexandria).

Its total magnetization is 0.0 μB per cell. Its crystal system is orthorhombic. For the formation energy, the calculation gives -0.744 eV per atom. As for the density of states at the Fermi level: 9.9 states/eV per cell.

It has space group Imm2 (No. 44), with a = 5.416 Å, b = 9.124 Å, c = 8.731 Å, α = 90.00°, β = 90.00° and γ = 90.00°. Symmetry generates all atoms from Sm at (0.000, 0.000, 0.000), Al at (0.000, 0.000, 0.358), Al at (0.000, 0.000, 0.658), Al at (0.000, 0.290, 0.494), Al at (0.000, 0.349, 0.019), Al at (0.000, 0.500, 0.734), Pd at (0.000, 0.500, 0.280) and Pd at (0.248, 0.268, 0.751).

11.
# SmAl2Pd

A relaxed SmAl2Pd crystal (PBE, Alexandria).

Its total magnetization is 0.0 μB per cell. Its crystal system is orthorhombic. For the formation energy, the calculation gives -0.738 eV per atom. As for the density of states at the Fermi level: 21.8 states/eV per cell.

It has space group Pnma (No. 62), with a = 16.088 Å, b = 6.952 Å, c = 5.690 Å, α = 90.00°, β = 90.00° and γ = 90.00°. Symmetry generates all atoms from Sm at (0.107, 0.250, 0.240), Sm at (0.143, 0.750, 0.476), Al at (0.036, 0.055, 0.751), Al at (0.213, 0.556, 0.961), Pd at (0.072, 0.750, 0.994) and Pd at (0.177, 0.250, 0.721).

12.
# SmAl2Pd6

A relaxed SmAl2Pd6 crystal (PBE, Alexandria).

Its total magnetization is 0.0 μB per cell. Its crystal system is cubic. For the formation energy, the calculation gives -0.398 eV per atom. As for the density of states at the Fermi level: 15.6 states/eV per cell.

It has space group Fd-3m (No. 227, origin choice 2), with a = 11.284 Å, b = 11.284 Å, c = 11.284 Å, α = 90.00°, β = 90.00° and γ = 90.00°. Symmetry generates all atoms from Sm at (0.125, 0.125, 0.125), Al at (0.000, 0.000, 0.500) and Pd at (0.124, 0.375, 0.375).

13.
# Sm2Al5Pd4

A relaxed Sm2Al5Pd4 crystal (PBE, Alexandria).

Its total magnetization is 0.0 μB per cell. Its crystal system is orthorhombic. For the formation energy, the calculation gives -0.822 eV per atom. As for the density of states at the Fermi level: 14.4 states/eV per cell.

It has space group Fmmm (No. 69), with a = 5.475 Å, b = 9.412 Å, c = 16.201 Å, α = 90.00°, β = 90.00° and γ = 90.00°. Symmetry generates all atoms from Sm at (0.000, 0.000, 0.127), Al at (0.000, 0.000, 0.500), Al at (0.250, 0.250, 0.000), Al at (0.250, 0.250, 0.250) and Pd at (0.000, 0.161, 0.370).

14.
# Sm3Al2Pd3

A relaxed Sm3Al2Pd3 crystal (PBE, Alexandria).

Its total magnetization is 0.0 μB per cell. Its crystal system is hexagonal. For the formation energy, the calculation gives -0.733 eV per atom. As for the density of states at the Fermi level: 9.3 states/eV per cell.

It has space group P6_3/mcm (No. 193), with a = 8.3563 Å, b = 8.3563 Å, c = 5.6658 Å, α = 90.00°, β = 90.00° and γ = 120.00°. Symmetry generates all atoms from Sm at (0.0000, 0.2647, 0.2500), Al at (0.3333, 0.6667, 0.0000) and Pd at (0.0000, 0.4044, 0.7500).

15.
# Sm3Al5Pd6

A relaxed Sm3Al5Pd6 crystal (PBE, Alexandria).

Its total magnetization is 0.0 μB per cell. Its crystal system is orthorhombic. For the formation energy, the calculation gives -0.833 eV per atom. As for the density of states at the Fermi level: 17.1 states/eV per cell.

It has space group Pmmn (No. 59, origin choice 2), with a = 4.403 Å, b = 13.146 Å, c = 9.105 Å, α = 90.00°, β = 90.00° and γ = 90.00°. Symmetry generates all atoms from Sm at (0.250, 0.052, 0.250), Sm at (0.250, 0.750, 0.232), Al at (0.250, 0.089, 0.888), Al at (0.250, 0.633, 0.528), Al at (0.250, 0.750, 0.783), Pd at (0.250, 0.066, 0.602), Pd at (0.250, 0.250, 0.048), Pd at (0.250, 0.250, 0.424) and Pd at (0.250, 0.603, 0.972).

16.
# Sm2AlPd

A relaxed Sm2AlPd crystal (PBE, Alexandria).

Its total magnetization is 0.0 μB per cell. Its crystal system is cubic. For the formation energy, the calculation gives -0.501 eV per atom. As for the density of states at the Fermi level: 14.8 states/eV per cell.

It has space group Fm-3m (No. 225), with a = 7.312 Å, b = 7.312 Å, c = 7.312 Å, α = 90.00°, β = 90.00° and γ = 90.00°. Symmetry generates all atoms from Sm at (0.250, 0.250, 0.250), Al at (0.000, 0.000, 0.000) and Pd at (0.000, 0.000, 0.500).

17.
# Sm2AlPd

A relaxed Sm2AlPd crystal (PBE, Alexandria).

Its total magnetization is 0.0 μB per cell. Its crystal system is trigonal. For the formation energy, the calculation gives -0.503 eV per atom. As for the density of states at the Fermi level: 12.1 states/eV per cell.

It has space group R3m (No. 160, hexagonal axes), with a = 4.5592 Å, b = 4.5592 Å, c = 16.9453 Å, α = 90.00°, β = 90.00° and γ = 120.00°. Symmetry generates all atoms from Sm at (0.0000, 0.0000, 0.0000), Sm at (0.0000, 0.0000, 0.1936), Al at (0.0000, 0.0000, 0.7700) and Pd at (0.0000, 0.0000, 0.4216).

18.
# SmAl2Pd9

A relaxed SmAl2Pd9 crystal (PBE, Alexandria).

Its total magnetization is 0.0 μB per cell. Its crystal system is tetragonal. For the formation energy, the calculation gives -0.660 eV per atom. As for the density of states at the Fermi level: 9.1 states/eV per cell.

It has space group P4/mmm (No. 123), with a = 4.038 Å, b = 4.038 Å, c = 11.793 Å, α = 90.00°, β = 90.00° and γ = 90.00°. Symmetry generates all atoms from Sm at (0.000, 0.000, 0.000), Al at (0.000, 0.000, 0.344), Pd at (0.000, 0.500, 0.186), Pd at (0.000, 0.500, 0.500), Pd at (0.500, 0.500, 0.000) and Pd at (0.500, 0.500, 0.341).

19.
# Sm2Al6Pd

A relaxed Sm2Al6Pd crystal (PBE, Alexandria).

Its total magnetization is 0.0 μB per cell. Its crystal system is trigonal. For the formation energy, the calculation gives -0.546 eV per atom. As for the density of states at the Fermi level: 6.5 states/eV per cell.

It has space group P-3m1 (No. 164), with a = 5.9018 Å, b = 5.9018 Å, c = 5.8939 Å, α = 90.00°, β = 90.00° and γ = 120.00°. Symmetry generates all atoms from Sm at (0.3333, 0.6667, 0.3575), Al at (0.1732, 0.3465, 0.8216) and Pd at (0.0000, 0.0000, 0.5000).

20.
# SmAl2Pd

A relaxed SmAl2Pd crystal (PBE, Alexandria).

Its total magnetization is 0.0 μB per cell. Its crystal system is tetragonal. For the formation energy, the calculation gives -0.603 eV per atom. As for the density of states at the Fermi level: 1.6 states/eV per cell.

It has space group P4/mmm (No. 123), with a = 3.217 Å, b = 3.217 Å, c = 7.390 Å, α = 90.00°, β = 90.00° and γ = 90.00°. Symmetry generates all atoms from Sm at (0.000, 0.000, 0.000), Al at (0.500, 0.500, 0.307) and Pd at (0.000, 0.000, 0.500).